! Sc2V2GaRu5 | the Alexandria database | GGA-PBE | relaxed; values from VASP
&SYSTEM
  ibrav = 0, nat = 20, ntyp = 4
/
ATOMIC_SPECIES
Ru 101.07 Ru.upf
V 50.94 V.upf
Sc 44.96 Sc.upf
Ga 69.72 Ga.upf
CELL_PARAMETERS angstrom
3.164 0.000 0.000
0.000 9.983 0.000
0.000 0.000 9.983
ATOMIC_POSITIONS crystal
Ru 0.500 0.699 0.432
V 0.000 0.869 0.369
Sc 0.000 0.671 0.171
Ru 0.500 0.500 0.000
Sc 0.000 0.829 0.671
Ru 0.500 0.000 0.500
Ru 0.500 0.568 0.699
V 0.000 0.131 0.631
V 0.000 0.631 0.869
Sc 0.000 0.171 0.329
Ru 0.500 0.432 0.301
Ru 0.500 0.068 0.801
Ga 0.000 0.000 0.000
Ru 0.500 0.801 0.932
Ga 0.000 0.500 0.500
Ru 0.500 0.301 0.568
Sc 0.000 0.329 0.829
V 0.000 0.369 0.131
Ru 0.500 0.199 0.068
Ru 0.500 0.932 0.199
! Total energy = -166.46 eV/cell
! Energy of formation = -293 meV/atom
! Density of states at the Fermi level = 11.272 states/eV per cell
! Theoretical density = 8.1 g/cm3
! Space-group type = P4/mbm